Entry a
The following is a DFT calculation (PBE) of an optimized crystal structure of Rb2SbO4.

Computed properties:
space-group type: C2/m, No. 12

Cell lengths 6.4166, 6.4166, 7.0962 Å; angles 116.85, 116.85, 28.99 degrees
Last column: nearest neighbours and their distance in Å.
Sites, in units of the cell vectors:
Rb 0.1600 0.1600 0.1743  7 O 2.87-3.00
Rb 0.8400 0.8400 0.8257  7 O 2.87-3.00
Sb 0.5000 0.5000 0.5000  6 O 1.96-2.10
O 0.1201 0.1201 0.5603  2 Sb 2.10
O 0.4653 0.4653 0.2005  1 Sb 1.96
O 0.5347 0.5347 0.7995  1 Sb 1.96
O 0.8799 0.8799 0.4397  2 Sb 2.10

---

Entry b
The following is a DFT calculation (PBE) of an optimized crystal structure of Rb2SbO4.

Computed properties:
space-group type: I4/mmm, No. 139

Cell lengths 7.7800, 7.7800, 7.7800 Å; angles 149.14, 149.14, 44.21 degrees
Last column: nearest neighbours and their distance in Å.
Sites, in units of the cell vectors:
Rb 0.1565 0.1565 0.0000  9 O 2.94-3.06
Rb 0.8435 0.8435 0.0000  9 O 2.94-3.06
Sb 0.5000 0.5000 0.0000  6 O 1.94-2.07
O 0.0000 0.5000 0.5000  2 Sb 2.07
O 0.3655 0.3655 0.0000  1 Sb 1.94
O 0.5000 0.0000 0.5000  2 Sb 2.07
O 0.6345 0.6345 0.0000  1 Sb 1.94

---

entry b is the most stable structure; the next one sits 0.045 eV/atom above it.

---

Entry a
The following is a DFT calculation (PBE) of an optimized crystal structure of RbSb2O6.

Computed properties:
space-group type: P-3, No. 147

Cell lengths 7.1272, 7.1272, 2.8945 Å; angles 90.00, 90.00, 120.00 degrees
Last column: nearest neighbours and their distance in Å.
Sites, in units of the cell vectors:
Rb 0.0000 0.0000 0.0000  6 O 2.89, 2 Rb 2.89
Sb 0.3333 0.6667 0.2402  6 O 2.06-2.07
Sb 0.6667 0.3333 0.7598  6 O 2.06-2.07
O 0.1480 0.7043 0.7394  2 Sb 2.06-2.07
O 0.2957 0.4436 0.7394  2 Sb 2.06-2.07
O 0.4436 0.1480 0.2606  2 Sb 2.06-2.07
O 0.5564 0.8520 0.7394  2 Sb 2.06-2.07
O 0.7043 0.5564 0.2606  2 Sb 2.06-2.07
O 0.8520 0.2957 0.2606  2 Sb 2.06-2.07

---

Entry b
The following is a DFT calculation (PBE) of an optimized crystal structure of RbSb2O6.

Computed properties:
space-group type: Fd-3m, No. 227

Cell lengths 7.3687, 7.3687, 7.3687 Å; angles 60.00, 60.00, 60.00 degrees
Last column: nearest neighbours and their distance in Å.
Sites, in units of the cell vectors:
Rb 0.1250 0.1250 0.1250  6 O 3.13
Rb 0.8750 0.8750 0.8750  6 O 3.13
Sb 0.0000 0.5000 0.5000  6 O 2.00
Sb 0.5000 0.0000 0.5000  6 O 2.00
Sb 0.5000 0.5000 0.0000  6 O 2.00
Sb 0.5000 0.5000 0.5000  6 O 2.00
O 0.1753 0.1753 0.5747  2 Sb 2.00
O 0.1753 0.5747 0.1753  2 Sb 2.00
O 0.1753 0.5747 0.5747  2 Sb 2.00
O 0.4253 0.4253 0.8247  2 Sb 2.00
O 0.4253 0.8247 0.4253  2 Sb 2.00
O 0.4253 0.8247 0.8247  2 Sb 2.00
O 0.5747 0.1753 0.1753  2 Sb 2.00
O 0.5747 0.1753 0.5747  2 Sb 2.00
O 0.5747 0.5747 0.1753  2 Sb 2.00
O 0.8247 0.4253 0.4253  2 Sb 2.00
O 0.8247 0.4253 0.8247  2 Sb 2.00
O 0.8247 0.8247 0.4253  2 Sb 2.00

---

entry b is the most stable structure; the next one sits 0.351 eV/atom above it.

---

Entry a
The following is a DFT calculation (PBE) of an optimized crystal structure of RbSb2TeO.

Computed properties:
space-group type: P4/mmm, No. 123

Cell lengths 7.4573, 7.4573, 6.8945 Å; angles 90.00, 90.00, 90.00 degrees
Last column: nearest neighbours and their distance in Å.
Sites, in units of the cell vectors:
Rb 0.0000 0.0000 0.0000  2 Te 3.45, 4 Sb 3.73
Sb 0.0000 0.5000 0.0000  2 Rb 3.73
Sb 0.5000 0.0000 0.0000  2 Rb 3.73
Te 0.0000 0.0000 0.5000  2 Rb 3.45
O 0.5000 0.5000 0.5000  8 Sb 5.08, 4 Te 5.27

---

Entry b
The following is a DFT calculation (PBE) of an optimized crystal structure of RbSb2TeO.

Computed properties:
space-group type: P4/mmm, No. 123

Cell lengths 4.9067, 4.9067, 5.4126 Å; angles 90.00, 90.00, 90.00 degrees
Last column: nearest neighbours and their distance in Å.
Sites, in units of the cell vectors:
Rb 0.0000 0.0000 0.0000  4 Te 3.47, 8 Sb 3.65
Sb 0.0000 0.5000 0.5000  2 O 2.45
Sb 0.5000 0.0000 0.5000  2 O 2.45
Te 0.5000 0.5000 0.0000  2 O 2.71
O 0.5000 0.5000 0.5000  4 Sb 2.45, 2 Te 2.71

---

entry b is the most stable structure; the next one sits 1.911 eV/atom above it.

---

Entry a
The following is a DFT calculation (PBE) of an optimized crystal structure of Rb3ScO3.

Computed properties:
space-group type: C2/m, No. 12

Cell lengths 7.1216, 7.1216, 7.1228 Å; angles 95.88, 95.88, 115.93 degrees
Last column: nearest neighbours and their distance in Å.
Sites, in units of the cell vectors:
Rb 0.2024 0.7976 0.0000  4 O 2.85-3.13
Rb 0.2618 0.7382 0.5000  4 O 2.96-3.05
Rb 0.3646 0.3646 0.1470  3 O 2.69-3.01
Rb 0.6354 0.6354 0.8530  3 O 2.69-3.01
Rb 0.7382 0.2618 0.5000  4 O 2.96-3.05
Rb 0.7976 0.2024 0.0000  4 O 2.85-3.13
Sc 0.1688 0.1688 0.6481  4 O 1.97-2.06
Sc 0.8312 0.8312 0.3519  4 O 1.97-2.06
O 0.1018 0.1018 0.3537  2 Sc 2.04-2.06
O 0.1597 0.4272 0.7660  1 Sc 1.97
O 0.4272 0.1597 0.7660  1 Sc 1.97
O 0.5728 0.8403 0.2340  1 Sc 1.97
O 0.8403 0.5728 0.2340  1 Sc 1.97
O 0.8982 0.8982 0.6463  2 Sc 2.04-2.06

---

Entry b
The following is a DFT calculation (PBE) of an optimized crystal structure of Rb3ScO3.

Computed properties:
space-group type: P2_1/c, No. 14

Cell lengths 7.7294, 7.2122, 11.4805 Å; angles 90.00, 94.98, 90.00 degrees
Last column: nearest neighbours and their distance in Å.
Sites, in units of the cell vectors:
Rb 0.0584 0.1229 0.1553  4 O 2.88-3.15
Rb 0.0584 0.3771 0.6553  4 O 2.88-3.15
Rb 0.3547 0.1651 0.9228  4 O 2.79-3.08
Rb 0.3547 0.3349 0.4228  4 O 2.79-3.08
Rb 0.3733 0.6860 0.8089  3 O 2.75-3.01
Rb 0.3733 0.8140 0.3089  3 O 2.75-3.01
Rb 0.6267 0.1860 0.6911  3 O 2.75-3.01
Rb 0.6267 0.3140 0.1911  3 O 2.75-3.01
Rb 0.6453 0.6651 0.5772  4 O 2.79-3.08
Rb 0.6453 0.8349 0.0772  4 O 2.79-3.08
Rb 0.9416 0.6229 0.3447  4 O 2.88-3.15
Rb 0.9416 0.8771 0.8447  4 O 2.88-3.15
Sc 0.1551 0.5850 0.0670  4 O 1.96-2.07
Sc 0.1551 0.9150 0.5670  4 O 1.96-2.07
Sc 0.8449 0.0850 0.4330  4 O 1.96-2.07
Sc 0.8449 0.4150 0.9330  4 O 1.96-2.07
O 0.1065 0.0539 0.4111  2 Sc 2.06-2.07
O 0.1065 0.4461 0.9111  2 Sc 2.06-2.07
O 0.2457 0.6622 0.5438  1 Sc 1.98
O 0.2457 0.8378 0.0438  1 Sc 1.98
O 0.2948 0.0493 0.6902  1 Sc 1.96
O 0.2948 0.4507 0.1902  1 Sc 1.96
O 0.7052 0.5493 0.8098  1 Sc 1.96
O 0.7052 0.9507 0.3098  1 Sc 1.96
O 0.7543 0.1622 0.9562  1 Sc 1.98
O 0.7543 0.3378 0.4562  1 Sc 1.98
O 0.8935 0.5539 0.0889  2 Sc 2.06-2.07
O 0.8935 0.9461 0.5889  2 Sc 2.06-2.07

---

entry b is the most stable structure; the next one sits 0.006 eV/atom above it.